First-principles (PBE-GGA) data for a relaxed structure of VZn3Fe, as listed in Alexandria via LeMat-Bulk.

It has space group Pm-3m (No. 221), with a = 4.485 Å, b = 4.485 Å, c = 4.485 Å, α = 90.00°, β = 90.00° and γ = 90.00°. The asymmetric unit holds V at (0.000, 0.000, 0.000), Zn at (0.000, 0.500, 0.500) and Fe at (0.500, 0.500, 0.500).

The formation enthalpy at 0 K comes out at 0.804 eV/atom. For the total energy, the calculation gives -3.4770 eV/atom.

---

First-principles (PBE-GGA) data for a relaxed structure of VZnFe, as listed in Alexandria via LeMat-Bulk.

It has space group I4mm (No. 107), with a = 2.962 Å, b = 2.962 Å, c = 8.604 Å, α = 90.00°, β = 90.00° and γ = 90.00°. The asymmetric unit holds V at (0.000, 0.000, 0.000), Zn at (0.000, 0.000, 0.689) and Fe at (0.000, 0.000, 0.365).

The formation enthalpy at 0 K comes out at -0.030 eV/atom. For the total energy, the calculation gives -6.3155 eV/atom.

---

Number 1: offset from the most stable computed form 0.00 eV per formula unit. Number 2: offset from the most stable computed form 0.00 eV per formula unit.